No. 1
Below is a geometry-optimized NbMoIr2C structure, with properties calculated at the GGA-PBEsol level.

Computed properties:
DFT formation energy ... 1.65 eV/atom
Calculated density ... 11.40 g/cm³
Spin magnetization ... 0.0 μB per cell
Volume ... 85.2 Å³/f.u.
SG ... P4/mmm, No. 123
D(E_F) ... 1.06 states/eV/atom

Unit cell a=4.697 b=4.697 c=3.863 alpha=90.00 beta=90.00 gamma=90.00
Sites, in units of the cell vectors:
Nb 0.000 0.000 0.000
Mo 0.500 0.500 0.500
Ir 0.000 0.500 0.500
Ir 0.500 0.000 0.500
C 0.500 0.500 0.000



No. 2
Below is a geometry-optimized SrMoIrC2 structure, with properties calculated at the GGA-PBEsol level.

Computed properties:
DFT formation energy ... 3.69 eV/atom
Calculated density ... 7.31 g/cm³
Spin magnetization ... 1.8 μB per cell
Volume ... 90.8 Å³/f.u.
SG ... P4/mmm, No. 123
D(E_F) ... 1.48 states/eV/atom

Unit cell a=4.222 b=4.222 c=5.097 alpha=90.00 beta=90.00 gamma=90.00
Sites, in units of the cell vectors:
Sr 0.000 0.000 0.000
Mo 0.500 0.500 0.500
Ir 0.000 0.000 0.500
C 0.000 0.500 0.000
C 0.500 0.000 0.000



No. 3
Below is a geometry-optimized Y2MoIrC structure, with properties calculated at the GGA-PBEsol level.

Computed properties:
DFT formation energy ... 1.47 eV/atom
Calculated density ... 6.21 g/cm³
Spin magnetization ... 0.9 μB per cell
Volume ... 127.8 Å³/f.u.
SG ... P4/mmm, No. 123
D(E_F) ... 1.11 states/eV/atom

Unit cell a=5.284 b=5.284 c=4.578 alpha=90.00 beta=90.00 gamma=90.00
Sites, in units of the cell vectors:
Y 0.000 0.500 0.000
Y 0.500 0.000 0.000
Mo 0.000 0.000 0.500
Ir 0.000 0.000 0.000
C 0.500 0.500 0.500



No. 4
Below is a geometry-optimized IrCN2O structure, with properties calculated at the GGA-PBEsol level.

Computed properties:
Calculated density ... 7.56 g/cm³
Spin magnetization ... 1.1 μB per cell
Energy relative to the elements, uncorrected ... 2.1066 eV/atom
Volume ... 54.5 Å³/f.u.
SG ... P4/mmm, No. 123
D(E_F) ... 0.71 states/eV/atom

Unit cell a=3.779 b=3.779 c=3.817 alpha=90.00 beta=90.00 gamma=90.00
Sites, in units of the cell vectors:
Ir 0.000 0.000 0.000
C 0.500 0.500 0.500
N 0.000 0.500 0.000
N 0.500 0.000 0.000
O 0.000 0.000 0.500



> Look up the calculated density of the first one.

11.40 g/cm³



What did the second record say?
Below is a geometry-optimized SrMoIrC2 structure, with properties calculated at the GGA-PBEsol level.

Computed properties:
DFT formation energy ... 3.69 eV/atom
Calculated density ... 7.31 g/cm³
Spin magnetization ... 1.8 μB per cell
Volume ... 90.8 Å³/f.u.
SG ... P4/mmm, No. 123
D(E_F) ... 1.48 states/eV/atom

Unit cell a=4.222 b=4.222 c=5.097 alpha=90.00 beta=90.00 gamma=90.00
Sites, in units of the cell vectors:
Sr 0.000 0.000 0.000
Mo 0.500 0.500 0.500
Ir 0.000 0.000 0.500
C 0.000 0.500 0.000
C 0.500 0.000 0.000